(1)
# KSe2Br, optimized geometry, DFT PBE
# energy relative to the elements, uncorrected	-0.216	eV/atom
# distance to the lowest polymorph of the same formula	472.9	meV per atom
data_KSe2Br
_cell_length_a 5.1589
_cell_length_b 5.1589
_cell_length_c 17.3095
_cell_angle_alpha 90.00
_cell_angle_beta 90.00
_cell_angle_gamma 120.00
_space_group_name_H-M_alt 'R -3 m'
_space_group_IT_number 166
_space_group_name_Hall '-R 3 2"'
loop_
_atom_site_label
_atom_site_type_symbol
_atom_site_fract_x
_atom_site_fract_y
_atom_site_fract_z
K1 K 0.0000 0.0000 0.0000
Se1 Se 0.0000 0.0000 0.1813
Br1 Br 0.0000 0.0000 0.5000



(2)
# SrCuGeIr, optimized geometry, DFT PBE
# energy of formation from the pure elements	-0.268	eV/atom
data_SrCuGeIr
_cell_length_a 4.111
_cell_length_b 4.111
_cell_length_c 10.537
_cell_angle_alpha 90.00
_cell_angle_beta 90.00
_cell_angle_gamma 90.00
_space_group_name_H-M_alt 'P 4/n m m'
_space_group_IT_number 129
loop_
_space_group_symop_operation_xyz
'x,y,z'
'-x,-y,-z'
'-y+1/2,x,z'
'y+1/2,-x,-z'
'-x+1/2,-y+1/2,z'
'x+1/2,y+1/2,-z'
'y,-x+1/2,z'
'-y,x+1/2,-z'
'x+1/2,-y,-z'
'-x+1/2,y,z'
'-y,-x,-z'
'y,x,z'
'-x,y+1/2,-z'
'x,-y+1/2,z'
'y+1/2,x+1/2,-z'
'-y+1/2,-x+1/2,z'
loop_
_atom_site_label
_atom_site_type_symbol
_atom_site_fract_x
_atom_site_fract_y
_atom_site_fract_z
Sr1 Sr 0.250 0.250 0.232
Cu1 Cu 0.250 0.750 0.000
Ge1 Ge 0.250 0.250 0.631
Ir1 Ir 0.250 0.750 0.500



(3)
# TbBeGaPt3, optimized geometry, DFT PBE
# energy of formation from the pure elements	-0.763	eV/atom
data_TbBeGaPt3
_cell_length_a 6.226
_cell_length_b 12.072
_cell_length_c 5.608
_cell_angle_alpha 90.00
_cell_angle_beta 90.00
_cell_angle_gamma 90.00
_space_group_name_H-M_alt 'C m c m'
_space_group_IT_number 63
_space_group_name_Hall '-C 2c 2'
loop_
_atom_site_label
_atom_site_type_symbol
_atom_site_fract_x
_atom_site_fract_y
_atom_site_fract_z
Tb1 Tb 0.000 0.220 0.250
Be1 Be 0.000 0.474 0.250
Ga1 Ga 0.000 0.134 0.750
Pt1 Pt 0.000 0.333 0.750
Pt2 Pt 0.226 0.000 0.000



(4)
# Cs2RbNpO5, optimized geometry, DFT PBE
# energy relative to the elements, uncorrected	-2.224	eV/atom
data_Cs2RbNpO5
_cell_length_a 4.385
_cell_length_b 6.634
_cell_length_c 13.819
_cell_angle_alpha 90.00
_cell_angle_beta 90.00
_cell_angle_gamma 90.00
_space_group_name_H-M_alt 'I m m m'
_space_group_IT_number 71
_space_group_name_Hall '-I 2 2'
loop_
_atom_site_label
_atom_site_type_symbol
_atom_site_fract_x
_atom_site_fract_y
_atom_site_fract_z
Cs1 Cs 0.000 0.000 0.226
Rb1 Rb 0.000 0.500 0.000
Np1 Np 0.000 0.500 0.500
O1 O 0.000 0.000 0.000
O2 O 0.000 0.292 0.398



(5)
# Ca2CrCu, optimized geometry, DFT PBE
# distance to the lowest polymorph of the same formula	170.7	meV per atom
# energy of formation from the pure elements	0.429	eV/atom
data_Ca2CrCu
_cell_length_a 4.451
_cell_length_b 4.451
_cell_length_c 9.845
_cell_angle_alpha 90.00
_cell_angle_beta 90.00
_cell_angle_gamma 90.00
_space_group_name_H-M_alt 'I -4 m 2'
_space_group_IT_number 119
_space_group_name_Hall 'I -4 -2'
loop_
_atom_site_label
_atom_site_type_symbol
_atom_site_fract_x
_atom_site_fract_y
_atom_site_fract_z
Ca1 Ca 0.000 0.000 0.000
Ca2 Ca 0.000 0.500 0.250
Cr1 Cr 0.000 0.500 0.750
Cu1 Cu 0.000 0.000 0.500



(6)
# Pm3Al6Ga5, optimized geometry, DFT PBE
# energy of formation from the pure elements	-0.450	eV/atom
data_Pm3Al6Ga5
_cell_length_a 4.288
_cell_length_b 12.947
_cell_length_c 10.029
_cell_angle_alpha 90.00
_cell_angle_beta 90.00
_cell_angle_gamma 90.00
_space_group_name_H-M_alt 'P m m n'
_space_group_IT_number 59
loop_
_space_group_symop_operation_xyz
'x,y,z'
'-x,-y,-z'
'-x+1/2,-y+1/2,z'
'x+1/2,y+1/2,-z'
'x+1/2,-y,-z'
'-x+1/2,y,z'
'-x,y+1/2,-z'
'x,-y+1/2,z'
loop_
_atom_site_label
_atom_site_type_symbol
_atom_site_fract_x
_atom_site_fract_y
_atom_site_fract_z
Pm1 Pm 0.250 0.073 0.249
Pm2 Pm 0.250 0.750 0.258
Al1 Al 0.250 0.080 0.611
Al2 Al 0.250 0.250 0.020
Al3 Al 0.250 0.250 0.465
Al4 Al 0.250 0.602 0.987
Ga1 Ga 0.250 0.085 0.867
Ga2 Ga 0.250 0.615 0.528
Ga3 Ga 0.250 0.750 0.782